CaMnO2: optimized geometry, GGA+U.

POSCAR file:
```
CaMnO2
1.0
5.021 0.000 0.000
0.000 5.021 0.000
2.511 2.511 5.046
Ca Mn O
2 2 4
direct
0.500 0.500 0.000
0.250 0.750 0.500
0.000 0.000 0.000
0.750 0.250 0.500
0.652 0.125 0.250
0.098 0.625 0.250
0.375 0.348 0.750
0.875 0.902 0.750
```

Properties
- VASP energy (eV per atom) = -7.0387
- total moment (μB per atom) = 1.2500
- density of states at the Fermi level (states/eV per cell) = 0.0
- density (g cm⁻³) = 3.3